An optimized crystal structure of NaHoIr. Source: OQMD, functional PBE-GGA.

Lattice parameters (Å, degrees): 6.6156 6.6156 6.6156 90.00 90.00 90.00
Space group F-43m (No. 216)
One atom of each set of equivalent atoms:
Na  0.0000  0.0000  0.0000 [4 per cell]
Ho  0.0000  0.0000  0.5000 [4 per cell]
Ir  0.2500  0.2500  0.7500 [4 per cell]

Computed properties:
E above lowest polymorph: 0.000 eV/atom
E_tot: -4.9616 eV/atom